Record 1
VASP calculation (GGA-PBE) on crystalline Pm3Sm4TmSe8 at its relaxed geometry.

It has space group R-3m (No. 166, hexagonal axes), with a = 8.3338 Å, b = 8.3338 Å, c = 20.3860 Å, α = 90.00°, β = 90.00° and γ = 120.00°. Symmetry generates all atoms from Pm at (0.0000, 0.5000, 0.0000), Sm at (0.0000, 0.0000, 0.5000), Sm at (0.0000, 0.5000, 0.5000), Tm at (0.0000, 0.0000, 0.0000), Se at (0.0000, 0.0000, 0.2492) and Se at (0.0086, 0.5043, 0.7486).

The crystal system is trigonal. For the total energy, the calculation gives -5.889 eV/atom. The formation energy (no corrections) comes out at -41.4 kcal/mol of atoms.


Record 2
VASP calculation (GGA-PBE) on crystalline Mg2TlMo at its relaxed geometry.

It has space group Pmm2 (No. 25), with a = 2.9231 Å, b = 4.9800 Å, c = 5.4719 Å, α = 90.00°, β = 90.00° and γ = 90.00°. Symmetry generates all atoms from Mg at (0.0000, 0.0000, 0.0000), Mg at (0.0000, 0.5000, 0.3145), Tl at (0.5000, 0.0000, 0.5252) and Mo at (0.5000, 0.5000, 0.8262).

The formation energy is 1.51 eV per formula unit. The crystal system is orthorhombic. For the total energy, the calculation gives -3.719 eV/atom. The calculation puts the offset from the most stable computed form at 96 meV per atom.


Record 3
VASP calculation (GGA-PBE) on crystalline HPdBr2 at its relaxed geometry.

It has space group R-3m (No. 166, hexagonal axes), with a = 4.2108 Å, b = 4.2108 Å, c = 18.4898 Å, α = 90.00°, β = 90.00° and γ = 120.00°. Symmetry generates all atoms from H at (0.0000, 0.0000, 0.0000), Pd at (0.0000, 0.0000, 0.5000) and Br at (0.0000, 0.0000, 0.0933).

The crystal system is trigonal. For the total energy, the calculation gives -2.950 eV/atom. The calculation puts the offset from the most stable computed form at 122 meV per atom.